Record 1
Below is CsNa2MnO4 after structural relaxation, with properties calculated at the PBE with a Hubbard U level.

V = 17.25 Å³/atom
Raw total energy = -5.28 eV/atom
Calculated density = 3.58 g/cm3
Space group = I-42m, No. 121
Size of the total moment = 2.0 μB/f.u.

Geometry as POSCAR:
```
CsNa2MnO4
1.0
5.681 0.837 0.000
-1.215 5.613 0.000
-2.233 -3.225 4.194
Cs Na Mn O
1 2 1 4
Direct
0.500 0.500 0.000 Cs
0.750 0.250 0.500 Na
0.250 0.750 0.500 Na
0.000 0.000 0.000 Mn
0.704 0.704 0.666 O
0.961 0.296 0.000 O
0.296 0.961 0.000 O
0.039 0.039 0.334 O
```

---

Record 2
Below is Cs2NaMnO4 after structural relaxation, with properties calculated at the PBE with a Hubbard U level.

V = 23.49 Å³/atom
Raw total energy = -5.13 eV/atom
Calculated density = 3.60 g/cm3
Space group = Fddd, No. 70
Size of the total moment = 2.0 μB/f.u.

Geometry as POSCAR:
```
Cs2NaMnO4
1.0
5.512 0.000 0.000
2.756 6.125 0.000
2.756 0.000 11.133
Cs Na Mn O
4 2 2 8
Direct
0.177 0.000 0.647 Cs
0.823 0.000 0.353 Cs
0.573 0.500 0.853 Cs
0.927 0.500 0.147 Cs
0.750 0.500 0.500 Na
0.000 0.000 0.000 Na
0.250 0.500 0.500 Mn
0.500 0.000 0.000 Mn
0.356 0.834 0.086 O
0.275 0.166 0.914 O
0.811 0.834 0.914 O
0.558 0.166 0.086 O
0.394 0.666 0.414 O
0.475 0.334 0.586 O
0.939 0.666 0.586 O
0.192 0.334 0.414 O
```